(1)
Cu2SiHgSe4: relaxed, PBE-GGA.

Output
Magnetic moment: 0.000 μB per atom
Raw formation energy: -6.57 kcal/mol of atoms

Cell lengths 8.142, 6.889, 6.654 Å; angles 90.00, 90.00, 90.00 degrees
Atoms (fractional coordinates):
Cu1 0.248 0.175 0.000
Cu2 0.252 0.825 0.500
Cu3 0.748 0.825 0.500
Cu4 0.752 0.175 0.000
Si1 0.000 0.679 0.995
Si2 0.500 0.321 0.495
Hg1 0.000 0.350 0.501
Hg2 0.500 0.650 0.001
Se1 0.000 0.351 0.908
Se2 0.000 0.712 0.344
Se3 0.226 0.844 0.865
Se4 0.274 0.156 0.365
Se5 0.500 0.288 0.844
Se6 0.500 0.649 0.408
Se7 0.726 0.156 0.365
Se8 0.774 0.844 0.865


(2)
VRh4W: relaxed, PBE-GGA.

Output
ΔE_f: 0.017 eV/atom
Magnetic moment: 0.000 μB per atom
Distance to the lowest polymorph of the same formula: 0.245 eV per atom

Cell lengths 5.827, 5.844, 5.827 Å; angles 90.00, 90.00, 90.00 degrees
Atoms (fractional coordinates):
V1 0.250 0.000 0.249
V2 0.750 0.000 0.751
Rh1 0.000 0.243 0.500
Rh2 0.000 0.244 0.000
Rh3 0.000 0.756 0.000
Rh4 0.000 0.757 0.500
Rh5 0.500 0.243 0.500
Rh6 0.500 0.244 0.000
Rh7 0.500 0.756 0.000
Rh8 0.500 0.757 0.500
W1 0.250 0.500 0.749
W2 0.750 0.500 0.251


(3)
SrPrSbPd: relaxed, PBE-GGA.

Output
Magnetic moment: 0.000 μB per atom
Raw formation energy: -17.64 kcal/mol of atoms

Cell lengths 5.424, 5.424, 5.424 Å; angles 60.00, 60.00, 60.00 degrees
Atoms (fractional coordinates):
Sr1 0.000 0.000 0.000
Pr1 0.500 0.500 0.500
Sb1 0.250 0.250 0.250
Pd1 0.750 0.750 0.750